# Pa2BiS PBE optimized geometry
# Energy above the most stable polymorph in this dataset: 0.323 eV per atom
# DOS at the Fermi energy: 9.162 states/eV/cell
# Energy relative to the elements, uncorrected: -2.11 eV/f.u.
# ρ: 12.3 g/cm3
# Total moment: 1.69 μB/f.u.
# Raw total energy: -7.279 eV/atom
data_Pa2BiS
_chemical_formula_sum 'Pa2 Bi1 S1'
_space_group_name_H-M_alt 'P 4/m m m'
_space_group_IT_number 123
_space_group_name_Hall '-P 4 2'
_cell_length_a 3.579
_cell_length_b 3.579
_cell_length_c 7.427
_cell_angle_alpha 90.00
_cell_angle_beta 90.00
_cell_angle_gamma 90.00
loop_
_atom_site_label
_atom_site_type_symbol
_atom_site_fract_x
_atom_site_fract_y
_atom_site_fract_z
Pa1 Pa 0.000 0.000 0.226
Bi1 Bi 0.500 0.500 0.500
S1 S 0.500 0.500 0.000

# Ba8As3PtI3 PBE optimized geometry
# DOS at the Fermi energy: 15.208 states/eV/cell
# Energy relative to the elements, uncorrected: -18.67 eV/f.u.
# ρ: 4.7 g/cm3
# Total moment: 0.02 μB/f.u.
# Raw total energy: -3.913 eV/atom
data_Ba8As3PtI3
_chemical_formula_sum 'Ba24 As9 Pt3 I9'
_space_group_name_H-M_alt 'R -3 m'
_space_group_IT_number 166
_space_group_name_Hall '-R 3 2"'
_cell_length_a 9.6364
_cell_length_b 9.6364
_cell_length_c 25.0448
_cell_angle_alpha 90.00
_cell_angle_beta 90.00
_cell_angle_gamma 120.00
loop_
_atom_site_label
_atom_site_type_symbol
_atom_site_fract_x
_atom_site_fract_y
_atom_site_fract_z
Ba1 Ba 0.0000 0.0000 0.2359
Ba2 Ba 0.0006 0.5003 0.7652
As1 As 0.0000 0.5000 0.5000
Pt1 Pt 0.0000 0.0000 0.5000
I1 I 0.0000 0.5000 0.0000

# LiPd4Se8 PBE optimized geometry
# DOS at the Fermi energy: 21.124 states/eV/cell
# Energy relative to the elements, uncorrected: -4.53 eV/f.u.
# ρ: 5.9 g/cm3
# Total moment: 0.00 μB/f.u.
# Raw total energy: -4.238 eV/atom
data_LiPd4Se8
_chemical_formula_sum 'Li4 Pd16 Se32'
_space_group_name_H-M_alt 'F -4 3 m'
_space_group_IT_number 216
_space_group_name_Hall 'F -4 2 3'
_cell_length_a 10.644
_cell_length_b 10.644
_cell_length_c 10.644
_cell_angle_alpha 90.00
_cell_angle_beta 90.00
_cell_angle_gamma 90.00
loop_
_atom_site_label
_atom_site_type_symbol
_atom_site_fract_x
_atom_site_fract_y
_atom_site_fract_z
Li1 Li 0.000 0.000 0.000
Pd1 Pd 0.123 0.123 0.623
Se1 Se 0.114 0.114 0.386
Se2 Se 0.138 0.138 0.862

# CsKNaTl PBE optimized geometry
# DOS at the Fermi energy: 18.758 states/eV/cell
# Formation energy: 0.047 eV/atom
# ρ: 3.5 g/cm3
# Total moment: 0.49 μB/f.u.
# Raw total energy: -1.362 eV/atom
data_CsKNaTl
_chemical_formula_sum 'Cs4 K4 Na4 Tl4'
_space_group_name_H-M_alt 'F -4 3 m'
_space_group_IT_number 216
_space_group_name_Hall 'F -4 2 3'
_cell_length_a 9.114
_cell_length_b 9.114
_cell_length_c 9.114
_cell_angle_alpha 90.00
_cell_angle_beta 90.00
_cell_angle_gamma 90.00
loop_
_atom_site_label
_atom_site_type_symbol
_atom_site_fract_x
_atom_site_fract_y
_atom_site_fract_z
Cs1 Cs 0.000 0.000 0.000
K1 K 0.250 0.250 0.750
Na1 Na 0.250 0.250 0.250
Tl1 Tl 0.000 0.000 0.500

# Ca4ReAs PBE optimized geometry
# DOS at the Fermi energy: 28.125 states/eV/cell
# Formation energy: 0.960 eV/atom
# ρ: 4.4 g/cm3
# Total moment: 1.97 μB/f.u.
# Raw total energy: -3.224 eV/atom
data_Ca4ReAs
_chemical_formula_sum 'Ca16 Re4 As4'
_space_group_name_H-M_alt 'F -4 3 m'
_space_group_IT_number 216
_space_group_name_Hall 'F -4 2 3'
_cell_length_a 8.604
_cell_length_b 8.604
_cell_length_c 8.604
_cell_angle_alpha 90.00
_cell_angle_beta 90.00
_cell_angle_gamma 90.00
loop_
_atom_site_label
_atom_site_type_symbol
_atom_site_fract_x
_atom_site_fract_y
_atom_site_fract_z
Ca1 Ca 0.124 0.124 0.124
Re1 Re 0.250 0.250 0.750
As1 As 0.000 0.000 0.500

# Li2MgTl PBE optimized geometry
# DOS at the Fermi energy: 6.340 states/eV/cell
# Formation energy: -0.066 eV/atom
# ρ: 4.5 g/cm3
# Total moment: 0.00 μB/f.u.
# Raw total energy: -2.013 eV/atom
data_Li2MgTl
_chemical_formula_sum 'Li6 Mg3 Tl3'
_space_group_name_H-M_alt 'R -3 m'
_space_group_IT_number 166
_space_group_name_Hall '-R 3 2"'
_cell_length_a 3.2791
_cell_length_b 3.2791
_cell_length_c 29.1399
_cell_angle_alpha 90.00
_cell_angle_beta 90.00
_cell_angle_gamma 120.00
loop_
_atom_site_label
_atom_site_type_symbol
_atom_site_fract_x
_atom_site_fract_y
_atom_site_fract_z
Li1 Li 0.0000 0.0000 0.2458
Mg1 Mg 0.0000 0.0000 0.0000
Tl1 Tl 0.0000 0.0000 0.5000

# Cs6Hg23Au PBE optimized geometry
# DOS at the Fermi energy: 64.582 states/eV/cell
# Formation energy: -0.192 eV/atom
# ρ: 9.0 g/cm3
# Total moment: 0.00 μB/f.u.
# Raw total energy: -0.703 eV/atom
data_Cs6Hg23Au
_chemical_formula_sum 'Cs24 Hg92 Au4'
_space_group_name_H-M_alt 'F m -3 m'
_space_group_IT_number 225
_space_group_name_Hall '-F 4 2 3'
_cell_length_a 16.071
_cell_length_b 16.071
_cell_length_c 16.071
_cell_angle_alpha 90.00
_cell_angle_beta 90.00
_cell_angle_gamma 90.00
loop_
_atom_site_label
_atom_site_type_symbol
_atom_site_fract_x
_atom_site_fract_y
_atom_site_fract_z
Cs1 Cs 0.000 0.000 0.218
Hg1 Hg 0.000 0.000 0.500
Hg2 Hg 0.000 0.250 0.250
Hg3 Hg 0.119 0.119 0.381
Hg4 Hg 0.173 0.173 0.173
Au1 Au 0.000 0.000 0.000

# Ir2C PBE optimized geometry
# Energy above the most stable polymorph in this dataset: 0.511 eV per atom
# DOS at the Fermi energy: 13.009 states/eV/cell
# Formation energy: 1.069 eV/atom
# ρ: 17.6 g/cm3
# Total moment: 0.00 μB/f.u.
# Raw total energy: -7.913 eV/atom
data_Ir2C
_chemical_formula_sum 'Ir8 C4'
_space_group_name_H-M_alt 'F m -3 m'
_space_group_IT_number 225
_space_group_name_Hall '-F 4 2 3'
_cell_length_a 5.310
_cell_length_b 5.310
_cell_length_c 5.310
_cell_angle_alpha 90.00
_cell_angle_beta 90.00
_cell_angle_gamma 90.00
loop_
_atom_site_label
_atom_site_type_symbol
_atom_site_fract_x
_atom_site_fract_y
_atom_site_fract_z
Ir1 Ir 0.250 0.250 0.250
C1 C 0.000 0.000 0.000

# TbScPt2 PBE optimized geometry
# Energy above the most stable polymorph in this dataset: 0.007 eV per atom
# DOS at the Fermi energy: 3.403 states/eV/cell
# Formation energy: -1.207 eV/atom
# ρ: 11.8 g/cm3
# Total moment: 0.00 μB/f.u.
# Raw total energy: -6.968 eV/atom
data_TbScPt2
_chemical_formula_sum 'Tb1 Sc1 Pt2'
_space_group_name_H-M_alt 'P 1 m 1'
_space_group_IT_number 6
_space_group_name_Hall 'P -2y'
_cell_length_a 3.659
_cell_length_b 4.406
_cell_length_c 5.482
_cell_angle_alpha 90.00
_cell_angle_beta 109.59
_cell_angle_gamma 90.00
loop_
_atom_site_label
_atom_site_type_symbol
_atom_site_fract_x
_atom_site_fract_y
_atom_site_fract_z
Tb1 Tb 0.000 0.000 0.000
Sc1 Sc 0.278 0.500 0.555
Pt1 Pt 0.553 0.500 0.106
Pt2 Pt 0.730 0.000 0.459

# Nb2Pt3 PBE optimized geometry
# Energy above the most stable polymorph in this dataset: 0.250 eV per atom
# DOS at the Fermi energy: 18.287 states/eV/cell
# Formation energy: -0.421 eV/atom
# ρ: 14.8 g/cm3
# Total moment: 0.00 μB/f.u.
# Raw total energy: -8.073 eV/atom
data_Nb2Pt3
_chemical_formula_sum 'Nb8 Pt12'
_space_group_name_H-M_alt 'C m c m'
_space_group_IT_number 63
_space_group_name_Hall '-C 2c 2'
_cell_length_a 4.091
_cell_length_b 8.965
_cell_length_c 9.465
_cell_angle_alpha 90.00
_cell_angle_beta 90.00
_cell_angle_gamma 90.00
loop_
_atom_site_label
_atom_site_type_symbol
_atom_site_fract_x
_atom_site_fract_y
_atom_site_fract_z
Nb1 Nb 0.000 0.000 0.000
Nb2 Nb 0.000 0.415 0.250
Pt1 Pt 0.000 0.117 0.250
Pt2 Pt 0.000 0.307 0.576

# Ag4Pt2Au3 PBE optimized geometry
# DOS at the Fermi energy: 7.562 states/eV/cell
# Formation energy: -0.009 eV/atom
# ρ: 15.1 g/cm3
# Total moment: 0.00 μB/f.u.
# Raw total energy: -3.711 eV/atom
data_Ag4Pt2Au3
_chemical_formula_sum 'Ag8 Pt4 Au6'
_space_group_name_H-M_alt 'C 1 2/m 1'
_space_group_IT_number 12
_space_group_name_Hall '-C 2y'
_cell_length_a 12.262
_cell_length_b 4.098
_cell_length_c 6.519
_cell_angle_alpha 90.00
_cell_angle_beta 108.44
_cell_angle_gamma 90.00
loop_
_atom_site_label
_atom_site_type_symbol
_atom_site_fract_x
_atom_site_fract_y
_atom_site_fract_z
Ag1 Ag 0.055 0.000 0.329
Ag2 Ag 0.222 0.500 0.331
Pt1 Pt 0.170 0.000 0.000
Au1 Au 0.000 0.500 0.000
Au2 Au 0.112 0.500 0.669

# AsPC PBE optimized geometry
# Energy above the most stable polymorph in this dataset: 0.035 eV per atom
# DOS at the Fermi energy: 1.021 states/eV/cell
# Formation energy: 0.415 eV/atom
# ρ: 4.4 g/cm3
# Total moment: 0.00 μB/f.u.
# Raw total energy: -6.013 eV/atom
data_AsPC
_chemical_formula_sum 'As2 P2 C2'
_space_group_name_H-M_alt 'P 1 m 1'
_space_group_IT_number 6
_space_group_name_Hall 'P -2y'
_cell_length_a 4.695
_cell_length_b 2.883
_cell_length_c 6.716
_cell_angle_alpha 90.00
_cell_angle_beta 98.01
_cell_angle_gamma 90.00
loop_
_atom_site_label
_atom_site_type_symbol
_atom_site_fract_x
_atom_site_fract_y
_atom_site_fract_z
As1 As 0.000 0.000 0.000
As2 As 0.375 0.000 0.768
P1 P 0.340 0.000 0.299
P2 P 0.859 0.500 0.530
C1 C 0.092 0.000 0.496
C2 C 0.556 0.500 0.327